A relaxed structure of Rb2In6Pb3, computed with PBE-GGA.

## Properties
E_form: -0.012 eV per atom
SG: Cmmm (65)
VASP energy: -2.69 eV/atom

Cell lengths 9.2403, 9.2403, 4.8999 Å; angles 90.00, 90.00, 97.83 degrees
Last column: nearest neighbours and their distance in Å.
Atoms (fractional coordinates):
Rb1 0.2159 0.7841 0.0000  12 In 3.98-4.42
Rb2 0.7841 0.2159 0.0000  12 In 3.98-4.42
In1 0.1163 0.1163 0.5000  3 In 2.82-2.99
In2 0.1429 0.4429 0.5000  2 In 2.97-2.99, 3 Pb 3.22-3.27
In3 0.4429 0.1429 0.5000  2 In 2.97-2.99, 3 Pb 3.22-3.27
In4 0.5571 0.8571 0.5000  2 In 2.97-2.99, 3 Pb 3.22-3.27
In5 0.8571 0.5571 0.5000  2 In 2.97-2.99, 3 Pb 3.22-3.27
In6 0.8837 0.8837 0.5000  3 In 2.82-2.99
Pb1 0.2945 0.2945 0.0000  6 In 3.22-3.27, 2 Pb 3.50
Pb2 0.5000 0.5000 0.5000  4 In 3.27, 4 Pb 3.50
Pb3 0.7055 0.7055 0.0000  6 In 3.22-3.27, 2 Pb 3.50